(1)
RbTc2Ge: relaxed, GGA-PBE.

Structure (CIF):
```
data_RbTc2Ge
_cell_length_a 4.851
_cell_length_b 4.851
_cell_length_c 18.057
_cell_angle_alpha 90.00
_cell_angle_beta 90.00
_cell_angle_gamma 90.00
_symmetry_space_group_name_H-M 'I 41/a m d'
_symmetry_Int_Tables_number 141
loop_
_symmetry_equiv_pos_as_xyz
'x,y,z'
'-x,-y,-z'
'-y+1/4,x+3/4,z+1/4'
'y+1/4,-x+3/4,-z+1/4'
'-x+1/2,-y,z+1/2'
'x+1/2,y,-z+1/2'
'y+1/4,-x+1/4,z+3/4'
'-y+1/4,x+1/4,-z+3/4'
'x,-y,-z'
'-x,y,z'
'-y+1/4,-x+1/4,-z+3/4'
'y+1/4,x+1/4,z+3/4'
'-x+1/2,y,-z+1/2'
'x+1/2,-y,z+1/2'
'y+1/4,x+3/4,-z+1/4'
'-y+1/4,-x+3/4,z+1/4'
'x+1/2,y+1/2,z+1/2'
'-x+1/2,-y+1/2,-z+1/2'
'-y+3/4,x+1/4,z+3/4'
'y+3/4,-x+1/4,-z+3/4'
'-x,-y+1/2,z'
'x,y+1/2,-z'
'y+3/4,-x+3/4,z+1/4'
'-y+3/4,x+3/4,-z+1/4'
'x+1/2,-y+1/2,-z+1/2'
'-x+1/2,y+1/2,z+1/2'
'-y+3/4,-x+3/4,-z+1/4'
'y+3/4,x+3/4,z+1/4'
'-x,y+1/2,-z'
'x,-y+1/2,z'
'y+3/4,x+1/4,-z+3/4'
'-y+3/4,-x+1/4,z+3/4'
loop_
_atom_site_label
_atom_site_type_symbol
_atom_site_fract_x
_atom_site_fract_y
_atom_site_fract_z
Rb1 Rb 0.000 0.250 0.375
Tc1 Tc 0.000 0.000 0.000
Ge1 Ge 0.000 0.250 0.875
```

Results
Final energy   -5.550 eV/atom
M_tot   4.065 Bohr magnetons per cell



(2)
TbPrDyY2: relaxed, GGA-PBE.

Structure (CIF):
```
data_TbPrDyY2
_cell_length_a 8.466
_cell_length_b 11.547
_cell_length_c 7.234
_cell_angle_alpha 90.00
_cell_angle_beta 90.00
_cell_angle_gamma 90.00
_symmetry_space_group_name_H-M 'C m c m'
_symmetry_Int_Tables_number 63
_symmetry_space_group_name_Hall '-C 2c 2'
loop_
_atom_site_label
_atom_site_type_symbol
_atom_site_fract_x
_atom_site_fract_y
_atom_site_fract_z
Tb1 Tb 0.000 0.004 0.250
Pr1 Pr 0.000 0.271 0.250
Dy1 Dy 0.000 0.274 0.750
Y1 Y 0.190 0.500 0.000
```

Results
Final energy   -5.010 eV/atom
M_tot   0.000 Bohr magnetons per cell



(3)
Sr4AlCl: relaxed, GGA-PBE.

Structure (CIF):
```
data_Sr4AlCl
_cell_length_a 10.272
_cell_length_b 10.272
_cell_length_c 10.272
_cell_angle_alpha 90.00
_cell_angle_beta 90.00
_cell_angle_gamma 90.00
_symmetry_space_group_name_H-M 'F -4 3 m'
_symmetry_Int_Tables_number 216
_symmetry_space_group_name_Hall 'F -4 2 3'
loop_
_atom_site_label
_atom_site_type_symbol
_atom_site_fract_x
_atom_site_fract_y
_atom_site_fract_z
Sr1 Sr 0.124 0.124 0.124
Al1 Al 0.250 0.250 0.750
Cl1 Cl 0.000 0.000 0.500
```

Results
Final energy   -1.820 eV/atom
M_tot   0.000 Bohr magnetons per cell



(4)
Pm2ZnHg5: relaxed, GGA-PBE.

Structure (CIF):
```
data_Pm2ZnHg5
_cell_length_a 5.174
_cell_length_b 5.174
_cell_length_c 14.693
_cell_angle_alpha 90.00
_cell_angle_beta 90.00
_cell_angle_gamma 90.00
_symmetry_space_group_name_H-M 'I 4/m m m'
_symmetry_Int_Tables_number 139
_symmetry_space_group_name_Hall '-I 4 2'
loop_
_atom_site_label
_atom_site_type_symbol
_atom_site_fract_x
_atom_site_fract_y
_atom_site_fract_z
Pm1 Pm 0.000 0.000 0.250
Zn1 Zn 0.000 0.000 0.000
Hg1 Hg 0.000 0.000 0.500
Hg2 Hg 0.000 0.500 0.116
```

Results
Energy above the most stable polymorph in this dataset   0.000 eV per atom
M_tot   0.001 Bohr magnetons per cell



(5)
BaTlInTe3: relaxed, GGA-PBE.

Structure (CIF):
```
data_BaTlInTe3
_cell_length_a 8.417
_cell_length_b 4.616
_cell_length_c 12.465
_cell_angle_alpha 90.00
_cell_angle_beta 91.88
_cell_angle_gamma 90.00
_symmetry_space_group_name_H-M 'P 1 21/m 1'
_symmetry_Int_Tables_number 11
loop_
_symmetry_equiv_pos_as_xyz
'x,y,z'
'-x,-y,-z'
'-x,y+1/2,-z'
'x,-y+1/2,z'
loop_
_atom_site_label
_atom_site_type_symbol
_atom_site_fract_x
_atom_site_fract_y
_atom_site_fract_z
Ba1 Ba 0.198 0.250 0.182
Tl1 Tl 0.271 0.750 0.557
In1 In 0.260 0.250 0.816
Te1 Te 0.007 0.250 0.663
Te2 Te 0.206 0.750 0.952
Te3 Te 0.465 0.750 0.301
```

Results
Final energy   -3.540 eV/atom
M_tot   0.000 Bohr magnetons per cell



(6)
LaCdSn3: relaxed, GGA-PBE.

Structure (CIF):
```
data_LaCdSn3
_cell_length_a 5.475
_cell_length_b 5.475
_cell_length_c 5.475
_cell_angle_alpha 90.00
_cell_angle_beta 90.00
_cell_angle_gamma 90.00
_symmetry_space_group_name_H-M 'P m -3 m'
_symmetry_Int_Tables_number 221
_symmetry_space_group_name_Hall '-P 4 2 3'
loop_
_atom_site_label
_atom_site_type_symbol
_atom_site_fract_x
_atom_site_fract_y
_atom_site_fract_z
La1 La 0.000 0.000 0.000
Cd1 Cd 0.500 0.500 0.500
Sn1 Sn 0.000 0.500 0.500
```

Results
Energy above the most stable polymorph in this dataset   0.508 eV per atom
M_tot   0.000 Bohr magnetons per cell